Entry 1:
A relaxed SrSn3 crystal, computed with PBE. Values from VASP.

Cell and atoms, written as Quantum ESPRESSO input:
```
&SYSTEM
  ibrav = 0, nat = 4, ntyp = 2
/
ATOMIC_SPECIES
Sn 118.71 Sn.upf
Sr 87.62 Sr.upf
CELL_PARAMETERS angstrom
4.792 0.000 0.000
0.000 4.792 0.000
-2.396 -2.396 5.058
ATOMIC_POSITIONS crystal
Sn 0.750 0.250 0.500
Sn 0.250 0.750 0.500
Sr 0.000 0.000 0.000
Sn 0.500 0.500 0.000
```

## Properties
Calculated total energy, eV/atom: -3.76
ΔH_f (0 K), meV per atom: -337
DOS at the Fermi energy, states/eV/f.u.: 2.0


Entry 2:
A relaxed Sr3Sn4 crystal, computed with PBE. Values from VASP.

Cell and atoms, written as Quantum ESPRESSO input:
```
&SYSTEM
  ibrav = 0, nat = 14, ntyp = 2
/
ATOMIC_SPECIES
Sn 118.71 Sn.upf
Sr 87.62 Sr.upf
CELL_PARAMETERS angstrom
-3.117 -2.345 3.091
5.500 1.871 2.961
-6.661 13.726 3.697
ATOMIC_POSITIONS crystal
Sn 0.418 0.835 0.102
Sn 0.417 0.835 0.399
Sr 0.014 0.028 0.750
Sr 0.705 0.410 0.099
Sn 0.269 0.537 0.250
Sn 0.585 0.169 0.899
Sr 0.297 0.594 0.599
Sn 0.584 0.169 0.602
Sn 0.002 0.005 0.500
Sn 0.734 0.467 0.750
Sr 0.705 0.410 0.401
Sn 0.002 0.003 0.000
Sr 0.297 0.594 0.901
Sr 0.988 0.976 0.250
```

## Properties
Calculated total energy, eV/atom: -3.58
ΔH_f (0 K), meV per atom: -576
DOS at the Fermi energy, states/eV/f.u.: 2.9


Entry 3:
A relaxed Sr2Sn17 crystal, computed with PBE. Values from VASP.

Cell and atoms, written as Quantum ESPRESSO input:
```
&SYSTEM
  ibrav = 0, nat = 19, ntyp = 2
/
ATOMIC_SPECIES
Sn 118.71 Sn.upf
Sr 87.62 Sr.upf
CELL_PARAMETERS angstrom
-4.063 -2.342 7.343
4.535 2.823 6.883
-3.975 6.927 3.483
ATOMIC_POSITIONS crystal
Sn 0.500 0.000 0.000
Sn 0.422 0.422 0.812
Sn 0.090 0.090 0.090
Sn 0.910 0.910 0.910
Sn 0.704 0.000 0.296
Sn 0.704 0.296 0.000
Sn 0.422 0.812 0.422
Sn 0.812 0.422 0.422
Sn 0.578 0.578 0.188
Sn 0.000 0.500 0.000
Sn 0.000 0.000 0.500
Sn 0.296 0.000 0.704
Sn 0.000 0.296 0.704
Sn 0.188 0.578 0.578
Sn 0.296 0.704 0.000
Sr 0.282 0.282 0.282
Sn 0.000 0.704 0.296
Sr 0.718 0.718 0.718
Sn 0.578 0.188 0.578
```

## Properties
Calculated total energy, eV/atom: -3.84
ΔH_f (0 K), meV per atom: -81
DOS at the Fermi energy, states/eV/f.u.: 11.6


Entry 4:
A relaxed Sr3Sn13 crystal, computed with PBE. Values from VASP.

Cell and atoms, written as Quantum ESPRESSO input:
```
&SYSTEM
  ibrav = 0, nat = 16, ntyp = 2
/
ATOMIC_SPECIES
Sn 118.71 Sn.upf
Sr 87.62 Sr.upf
CELL_PARAMETERS angstrom
-5.953 3.492 -0.113
2.006 -3.146 5.808
5.468 9.423 3.216
ATOMIC_POSITIONS crystal
Sn 0.779 0.221 0.500
Sn 0.724 0.718 0.500
Sr 0.974 0.026 0.763
Sn 0.486 0.056 0.743
Sn 0.944 0.514 0.743
Sn 0.944 0.514 0.257
Sn 0.483 0.517 0.252
Sr 0.974 0.026 0.237
Sn 0.483 0.517 0.748
Sr 0.306 0.694 0.000
Sn 0.348 0.214 0.000
Sn 0.486 0.056 0.257
Sn 0.786 0.652 0.000
Sn 0.214 0.786 0.500
Sn 0.282 0.276 0.500
Sn 0.787 0.213 0.000
```

## Properties
Calculated total energy, eV/atom: -3.84
ΔH_f (0 K), meV per atom: -275
DOS at the Fermi energy, states/eV/f.u.: 7.4


Entry 5:
A relaxed SrSn12 crystal, computed with PBE. Values from VASP.

Cell and atoms, written as Quantum ESPRESSO input:
```
&SYSTEM
  ibrav = 0, nat = 13, ntyp = 2
/
ATOMIC_SPECIES
Sn 118.71 Sn.upf
Sr 87.62 Sr.upf
CELL_PARAMETERS angstrom
8.981 0.000 0.000
4.491 7.778 0.000
4.491 2.593 7.333
ATOMIC_POSITIONS crystal
Sn 0.840 0.500 0.160
Sn 0.500 0.840 0.500
Sn 0.500 0.160 0.500
Sn 0.160 0.840 0.500
Sn 0.160 0.500 0.840
Sn 0.500 0.160 0.840
Sr 0.000 0.000 0.000
Sn 0.160 0.500 0.500
Sn 0.840 0.500 0.500
Sn 0.500 0.840 0.160
Sn 0.840 0.160 0.500
Sn 0.500 0.500 0.160
Sn 0.500 0.500 0.840
```

## Properties
Calculated total energy, eV/atom: -3.59
ΔH_f (0 K), meV per atom: 230
DOS at the Fermi energy, states/eV/f.u.: 12.0


Entry 6:
A relaxed SrSn crystal, computed with PBE. Values from VASP.

Cell and atoms, written as Quantum ESPRESSO input:
```
&SYSTEM
  ibrav = 0, nat = 4, ntyp = 2
/
ATOMIC_SPECIES
Sr 87.62 Sr.upf
Sn 118.71 Sn.upf
CELL_PARAMETERS angstrom
4.567 0.000 0.000
0.000 5.082 -0.001
0.000 -2.540 6.066
ATOMIC_POSITIONS crystal
Sr 0.250 0.135 0.271
Sr 0.750 0.865 0.729
Sn 0.250 0.421 0.841
Sn 0.750 0.579 0.159
```

## Properties
Calculated total energy, eV/atom: -3.53
ΔH_f (0 K), meV per atom: -683
DOS at the Fermi energy, states/eV/f.u.: 0.8


Entry 7:
A relaxed SrSn crystal, computed with PBE. Values from VASP.

Cell and atoms, written as Quantum ESPRESSO input:
```
&SYSTEM
  ibrav = 0, nat = 12, ntyp = 2
/
ATOMIC_SPECIES
Sn 118.71 Sn.upf
Sr 87.62 Sr.upf
CELL_PARAMETERS angstrom
9.444 0.000 0.000
0.000 9.444 0.000
0.000 0.000 9.444
ATOMIC_POSITIONS crystal
Sn 0.500 0.750 0.000
Sn 0.250 0.000 0.500
Sn 0.000 0.500 0.250
Sr 0.500 0.000 0.250
Sr 0.000 0.250 0.500
Sn 0.500 0.250 0.000
Sr 0.250 0.500 0.000
Sr 0.750 0.500 0.000
Sr 0.500 0.000 0.750
Sn 0.000 0.500 0.750
Sn 0.750 0.000 0.500
Sr 0.000 0.750 0.500
```

## Properties
Calculated total energy, eV/atom: -2.53
ΔH_f (0 K), meV per atom: 308
DOS at the Fermi energy, states/eV/f.u.: 1.7


Entry 8:
A relaxed SrSn5 crystal, computed with PBE. Values from VASP.

Cell and atoms, written as Quantum ESPRESSO input:
```
&SYSTEM
  ibrav = 0, nat = 6, ntyp = 2
/
ATOMIC_SPECIES
Sn 118.71 Sn.upf
Sr 87.62 Sr.upf
CELL_PARAMETERS angstrom
4.625 0.000 0.000
2.312 6.495 0.325
2.312 2.308 6.080
ATOMIC_POSITIONS crystal
Sn 0.836 0.454 0.874
Sn 0.164 0.126 0.546
Sn 0.164 0.546 0.126
Sn 0.836 0.874 0.454
Sn 0.500 0.500 0.500
Sr 0.500 0.000 0.000
```

## Properties
Calculated total energy, eV/atom: -3.87
ΔH_f (0 K), meV per atom: -258
DOS at the Fermi energy, states/eV/f.u.: 3.4